Density functional theory data (PBE with a Hubbard U) for crystalline Ba2TbCoO5 at its relaxed geometry.

Results
DFT total energy: -6.649 eV per atom
Magnetic moment: 0.447 μB per atom

Geometry as CIF:
```
data_Ba2TbCoO5
_space_group_name_H-M_alt 'C m c 21'
_space_group_IT_number 36
_cell_length_a 3.5737
_cell_length_b 14.8667
_cell_length_c 11.8971
_cell_angle_alpha 90.00
_cell_angle_beta 90.00
_cell_angle_gamma 90.00
loop_
_space_group_symop_operation_xyz
'x,y,z'
'-x,-y,z+1/2'
'-x,y,z'
'x,-y,z+1/2'
'x+1/2,y+1/2,z'
'-x+1/2,-y+1/2,z+1/2'
'-x+1/2,y+1/2,z'
'x+1/2,-y+1/2,z+1/2'
loop_
_atom_site_label
_atom_site_type_symbol
_atom_site_fract_x
_atom_site_fract_y
_atom_site_fract_z
Ba1 Ba 0.0000 0.0976 0.0000
Ba2 Ba 0.0000 0.1428 0.6796
Tb1 Tb 0.0000 0.1988 0.3872
Co1 Co 0.0000 0.4450 0.7609
O1 O 0.0000 0.0381 0.3349
O2 O 0.0000 0.2887 0.0071
O3 O 0.0000 0.3205 0.7568
O4 O 0.0000 0.3421 0.3522
O5 O 0.0000 0.4942 0.1296
```